[1]
Computed, not measured: a geometry-optimized AcPmSe2 structure at the PBE level of DFT.

a b c (Å): 7.490 7.490 7.490
angles (deg): 90.00 90.00 90.00
Space group Fm-3m (No. 225)
Asymmetric unit:
Ac1 0.000 0.000 0.000 x4
Pm1 0.000 0.000 0.500 x4
Se1 0.250 0.250 0.250 x8

Values from the calculation:
Energy relative to the lowest polymorph listed for this composition, meV/atom: 231
E, eV/atom: -5.5711
Total moment, μB per cell: 0.00
Crystal system: cubic
Energy relative to the elements, uncorrected, eV/atom: -1.61
Density of states at the Fermi level, states/eV per cell: 10.465

[2]
Computed, not measured: a geometry-optimized Ac2PmSe4 structure at the PBE level of DFT.

a b c (Å): 14.350 4.156 8.825
angles (deg): 90.00 122.52 90.00
Space group C2/m (No. 12)
Asymmetric unit:
Ac1 0.145 0.000 0.204 x4
Pm1 0.000 0.500 0.500 x2
Se1 0.056 0.500 0.872 x4
Se2 0.167 0.000 0.583 x4

Values from the calculation:
Energy relative to the lowest polymorph listed for this composition, meV/atom: 0
E, eV/atom: -5.7496
Total moment, μB per cell: 0.00
Crystal system: monoclinic
Energy relative to the elements, uncorrected, eV/atom: -1.91
Density of states at the Fermi level, states/eV per cell: 1.679

[3]
Computed, not measured: a geometry-optimized AcPmSe2 structure at the PBE level of DFT.

a b c (Å): 4.3256 4.3256 21.2541
angles (deg): 90.00 90.00 120.00
Space group R-3m (No. 166, hexagonal axes)
Asymmetric unit:
Ac1 0.0000 0.0000 0.0000 x3
Pm1 0.0000 0.0000 0.5000 x3
Se1 0.0000 0.0000 0.2441 x6

Values from the calculation:
Energy relative to the lowest polymorph listed for this composition, meV/atom: 0
E, eV/atom: -5.8021
Total moment, μB per cell: 0.00
Crystal system: trigonal
Energy relative to the elements, uncorrected, eV/atom: -1.85
Density of states at the Fermi level, states/eV per cell: 5.273

[4]
Computed, not measured: a geometry-optimized AcPm3Se6 structure at the PBE level of DFT.

a b c (Å): 11.927 4.308 12.264
angles (deg): 90.00 108.89 90.00
Space group P2_1/m (No. 11)
Asymmetric unit:
Ac1 0.051 0.250 0.195 x2
Pm1 0.160 0.250 0.588 x2
Pm2 0.321 0.750 0.999 x2
Pm3 0.445 0.250 0.333 x2
Se1 0.085 0.750 0.407 x2
Se2 0.121 0.250 0.964 x2
Se3 0.197 0.750 0.750 x2
Se4 0.268 0.750 0.229 x2
Se5 0.392 0.250 0.556 x2
Se6 0.481 0.250 0.112 x2

Values from the calculation:
E, eV/atom: -5.8629
Total moment, μB per cell: 0.00
Crystal system: monoclinic
Energy relative to the elements, uncorrected, eV/atom: -1.94

[5]
Computed, not measured: a geometry-optimized Ac2PmSe structure at the PBE level of DFT.

a b c (Å): 4.0081 4.0081 34.1058
angles (deg): 90.00 90.00 120.00
Space group R-3m (No. 166, hexagonal axes)
Asymmetric unit:
Ac1 0.0000 0.0000 0.1062 x6
Pm1 0.0000 0.0000 0.0000 x3
Se1 0.0000 0.0000 0.5000 x3

Values from the calculation:
E, eV/atom: -4.6249
Total moment, μB per cell: 2.87
Crystal system: trigonal
Energy relative to the elements, uncorrected, eV/atom: -0.51
Density of states at the Fermi level, states/eV per cell: 15.198

[6]
Computed, not measured: a geometry-optimized Ac5PmSe8 structure at the PBE level of DFT.

a b c (Å): 9.374 9.374 9.224
angles (deg): 90.00 90.00 90.00
Space group I-4 (No. 82)
Asymmetric unit:
Ac1 0.000 0.000 0.000 x2
Ac2 0.137 0.251 0.375 x8
Pm1 0.000 0.500 0.750 x2
Se1 0.070 0.179 0.701 x8
Se2 0.074 0.330 0.047 x8

Values from the calculation:
E, eV/atom: -5.7442
Total moment, μB per cell: 0.00
Crystal system: tetragonal
Energy relative to the elements, uncorrected, eV/atom: -1.95
Density of states at the Fermi level, states/eV per cell: 19.520

[7]
Computed, not measured: a geometry-optimized Ac3PmSe6 structure at the PBE level of DFT.

a b c (Å): 12.9040 12.9040 15.0875
angles (deg): 90.00 90.00 120.00
Space group R-3 (No. 148, hexagonal axes)
Asymmetric unit:
Ac1 0.0485 0.2701 0.2011 x18
Pm1 0.0000 0.0000 0.0000 x3
Pm2 0.0000 0.0000 0.5000 x3
Se1 0.0242 0.2087 0.4005 x18
Se2 0.0318 0.1914 0.8805 x18

Values from the calculation:
Energy relative to the lowest polymorph listed for this composition, meV/atom: 0
E, eV/atom: -5.7716
Total moment, μB per cell: 0.00
Crystal system: trigonal
Energy relative to the elements, uncorrected, eV/atom: -1.97
Density of states at the Fermi level, states/eV per cell: 0.000

[8]
Computed, not measured: a geometry-optimized Ac3PmSe6 structure at the PBE level of DFT.

a b c (Å): 13.578 7.922 7.729
angles (deg): 90.00 122.75 90.00
Space group C2/m (No. 12)
Asymmetric unit:
Ac1 0.000 0.000 0.000 x2
Ac2 0.249 0.000 0.702 x4
Pm1 0.000 0.500 0.500 x2
Se1 0.088 0.252 0.345 x8
Se2 0.240 0.500 0.891 x4

Values from the calculation:
Energy relative to the lowest polymorph listed for this composition, meV/atom: 113
E, eV/atom: -5.6584
Total moment, μB per cell: 0.00
Crystal system: monoclinic
Energy relative to the elements, uncorrected, eV/atom: -1.86
Density of states at the Fermi level, states/eV per cell: 0.000

[9]
Computed, not measured: a geometry-optimized Ac2PmSe4 structure at the PBE level of DFT.

a b c (Å): 4.198 14.793 14.514
angles (deg): 90.00 90.00 90.00
Space group Cmcm (No. 63)
Asymmetric unit:
Ac1 0.000 0.131 0.075 x8
Pm1 0.000 0.372 0.250 x4
Se1 0.000 0.015 0.250 x4
Se2 0.000 0.218 0.626 x8
Se3 0.000 0.500 0.000 x4

Values from the calculation:
Energy relative to the lowest polymorph listed for this composition, meV/atom: 34
E, eV/atom: -5.7160
Total moment, μB per cell: 0.00
Crystal system: orthorhombic
Energy relative to the elements, uncorrected, eV/atom: -1.87
Density of states at the Fermi level, states/eV per cell: 8.627

[10]
Computed, not measured: a geometry-optimized AcPm2Se3 structure at the PBE level of DFT.

a b c (Å): 4.282 6.088 12.858
angles (deg): 90.00 90.00 90.00
Space group Immm (No. 71)
Asymmetric unit:
Ac1 0.000 0.000 0.000 x2
Pm1 0.000 0.000 0.337 x4
Se1 0.000 0.500 0.000 x2
Se2 0.000 0.500 0.324 x4

Values from the calculation:
E, eV/atom: -5.8340
Total moment, μB per cell: 0.00
Crystal system: orthorhombic
Energy relative to the elements, uncorrected, eV/atom: -1.82
Density of states at the Fermi level, states/eV per cell: 6.512

[11]
Computed, not measured: a geometry-optimized Ac4PmSe5 structure at the PBE level of DFT.

a b c (Å): 4.410 6.256 22.076
angles (deg): 90.00 90.00 90.00
Space group Immm (No. 71)
Asymmetric unit:
Ac1 0.000 0.000 0.099 x4
Ac2 0.000 0.000 0.303 x4
Pm1 0.000 0.000 0.500 x2
Se1 0.000 0.500 0.094 x4
Se2 0.000 0.500 0.299 x4
Se3 0.000 0.500 0.500 x2

Values from the calculation:
Energy relative to the lowest polymorph listed for this composition, meV/atom: 13
E, eV/atom: -5.7029
Total moment, μB per cell: 0.00
Crystal system: orthorhombic
Energy relative to the elements, uncorrected, eV/atom: -1.84
Density of states at the Fermi level, states/eV per cell: 12.714

[12]
Computed, not measured: a geometry-optimized Ac3PmSe4 structure at the PBE level of DFT.

a b c (Å): 6.237 6.237 6.237
angles (deg): 90.00 90.00 90.00
Space group Pm-3m (No. 221)
Asymmetric unit:
Ac1 0.000 0.000 0.500 x3
Pm1 0.500 0.500 0.500 x1
Se1 0.000 0.000 0.000 x1
Se2 0.000 0.500 0.500 x3

Values from the calculation:
Energy relative to the lowest polymorph listed for this composition, meV/atom: 26
E, eV/atom: -5.6993
Total moment, μB per cell: 0.00
Crystal system: cubic
Energy relative to the elements, uncorrected, eV/atom: -1.82
Density of states at the Fermi level, states/eV per cell: 5.576

[13]
Computed, not measured: a geometry-optimized AcPm2Se5 structure at the PBE level of DFT.

a b c (Å): 7.911 7.911 13.543
angles (deg): 90.00 90.00 90.00
Space group I4/mcm (No. 140)
Asymmetric unit:
Ac1 0.000 0.000 0.250 x4
Pm1 0.156 0.344 0.000 x8
Se1 0.000 0.000 0.000 x4
Se2 0.151 0.349 0.356 x16

Values from the calculation:
E, eV/atom: -5.6298
Total moment, μB per cell: 0.00
Crystal system: tetragonal
Energy relative to the elements, uncorrected, eV/atom: -1.75
Density of states at the Fermi level, states/eV per cell: 22.120

[14]
Computed, not measured: a geometry-optimized AcPmSe2 structure at the PBE level of DFT.

a b c (Å): 4.2707 4.2707 14.6271
angles (deg): 90.00 90.00 120.00
Space group P6_3/mmc (No. 194)
Asymmetric unit:
Ac1 0.3333 0.6667 0.2500 x2
Pm1 0.0000 0.0000 0.0000 x2
Se1 0.3333 0.6667 0.6150 x4

Values from the calculation:
Energy relative to the lowest polymorph listed for this composition, meV/atom: 13
E, eV/atom: -5.7895
Total moment, μB per cell: 0.00
Crystal system: hexagonal
Energy relative to the elements, uncorrected, eV/atom: -1.83
Density of states at the Fermi level, states/eV per cell: 4.091

[15]
Computed, not measured: a geometry-optimized AcPmSe structure at the PBE level of DFT.

a b c (Å): 4.1462 4.1462 7.0286
angles (deg): 90.00 90.00 120.00
Space group P3m1 (No. 156)
Asymmetric unit:
Ac1 0.0000 0.0000 0.0000 x1
Pm1 0.3333 0.6667 0.4529 x1
Se1 0.6667 0.3333 0.7038 x1

Values from the calculation:
Energy relative to the lowest polymorph listed for this composition, meV/atom: 0
E, eV/atom: -5.1871
Total moment, μB per cell: 1.36
Crystal system: trigonal
Energy relative to the elements, uncorrected, eV/atom: -1.07
Density of states at the Fermi level, states/eV per cell: 3.329

[16]
Computed, not measured: a geometry-optimized Ac3PmSe4 structure at the PBE level of DFT.

a b c (Å): 7.664 8.728 7.638
angles (deg): 90.00 109.26 90.00
Space group P2/c (No. 13)
Asymmetric unit:
Ac1 0.000 0.124 0.250 x2
Ac2 0.000 0.374 0.750 x2
Ac3 0.500 0.373 0.250 x2
Pm1 0.500 0.124 0.750 x2
Se1 0.257 0.369 0.507 x4
Se2 0.262 0.119 0.000 x4

Values from the calculation:
Energy relative to the lowest polymorph listed for this composition, meV/atom: 0
E, eV/atom: -5.7249
Total moment, μB per cell: 0.00
Crystal system: monoclinic
Energy relative to the elements, uncorrected, eV/atom: -1.85
Density of states at the Fermi level, states/eV per cell: 8.144

[17]
Computed, not measured: a geometry-optimized AcPmSe structure at the PBE level of DFT.

a b c (Å): 15.103 4.040 7.505
angles (deg): 90.00 101.77 90.00
Space group C2/m (No. 12)
Asymmetric unit:
Ac1 0.195 0.000 0.210 x4
Pm1 0.039 0.500 0.784 x4
Se1 0.129 0.500 0.483 x4

Values from the calculation:
Energy relative to the lowest polymorph listed for this composition, meV/atom: 161
E, eV/atom: -5.0265
Total moment, μB per cell: 0.00
Crystal system: monoclinic
Energy relative to the elements, uncorrected, eV/atom: -0.91
Density of states at the Fermi level, states/eV per cell: 11.732

[18]
Computed, not measured: a geometry-optimized Ac4PmSe5 structure at the PBE level of DFT.

a b c (Å): 4.4165 4.4165 53.9454
angles (deg): 90.00 90.00 120.00
Space group R-3m (No. 166, hexagonal axes)
Asymmetric unit:
Ac1 0.0000 0.0000 0.1028 x6
Ac2 0.0000 0.0000 0.2991 x6
Pm1 0.0000 0.0000 0.5000 x3
Se1 0.0000 0.0000 0.0000 x3
Se2 0.0000 0.0000 0.1963 x6
Se3 0.0000 0.0000 0.4019 x6

Values from the calculation:
Energy relative to the lowest polymorph listed for this composition, meV/atom: 0
E, eV/atom: -5.7154
Total moment, μB per cell: 0.00
Crystal system: trigonal
Energy relative to the elements, uncorrected, eV/atom: -1.85
Density of states at the Fermi level, states/eV per cell: 16.136

[19]
Computed, not measured: a geometry-optimized AcPm4Se5 structure at the PBE level of DFT.

a b c (Å): 14.123 4.246 10.423
angles (deg): 90.00 119.65 90.00
Space group C2/m (No. 12)
Asymmetric unit:
Ac1 0.000 0.000 0.000 x2
Pm1 0.097 0.500 0.399 x4
Pm2 0.201 0.000 0.792 x4
Se1 0.000 0.000 0.500 x2
Se2 0.108 0.500 0.896 x4
Se3 0.203 0.000 0.311 x4

Values from the calculation:
E, eV/atom: -5.8859
Total moment, μB per cell: 0.00
Crystal system: monoclinic
Energy relative to the elements, uncorrected, eV/atom: -1.83
Density of states at the Fermi level, states/eV per cell: 9.782

[20]
Computed, not measured: a geometry-optimized AcPmSe2 structure at the PBE level of DFT.

a b c (Å): 4.524 9.642 6.940
angles (deg): 90.00 90.00 90.00
Space group Pmn2_1 (No. 31)
Asymmetric unit:
Ac1 0.000 0.092 0.000 x2
Pm1 0.000 0.649 0.881 x2
Se1 0.000 0.408 0.140 x2
Se2 0.000 0.818 0.217 x2

Values from the calculation:
Energy relative to the lowest polymorph listed for this composition, meV/atom: 426
E, eV/atom: -5.3764
Total moment, μB per cell: 0.07
Crystal system: orthorhombic
Energy relative to the elements, uncorrected, eV/atom: -1.42
Density of states at the Fermi level, states/eV per cell: 4.262

[21]
Computed, not measured: a geometry-optimized AcPm2Se structure at the PBE level of DFT.

a b c (Å): 3.9640 3.9640 29.7649
angles (deg): 90.00 90.00 120.00
Space group R-3m (No. 166, hexagonal axes)
Asymmetric unit:
Ac1 0.0000 0.0000 0.0000 x3
Pm1 0.0000 0.0000 0.2292 x6
Se1 0.0000 0.0000 0.5000 x3

Values from the calculation:
Energy relative to the lowest polymorph listed for this composition, meV/atom: 0
E, eV/atom: -5.1090
Total moment, μB per cell: 0.00
Crystal system: trigonal
Energy relative to the elements, uncorrected, eV/atom: -0.84
Density of states at the Fermi level, states/eV per cell: 15.217

[22]
Computed, not measured: a geometry-optimized Ac2Pm3SmSe6 structure at the PBE level of DFT.

a b c (Å): 7.395 12.862 7.441
angles (deg): 90.00 109.52 90.00
Space group C2/m (No. 12)
Asymmetric unit:
Ac1 0.000 0.166 0.000 x4
Pm1 0.000 0.000 0.500 x2
Pm2 0.000 0.329 0.500 x4
Sm1 0.000 0.500 0.000 x2
Se1 0.234 0.500 0.736 x4
Se2 0.248 0.338 0.259 x8

Values from the calculation:
E, eV/atom: -5.8380
Total moment, μB per cell: 0.00
Crystal system: monoclinic
Energy relative to the elements, uncorrected, eV/atom: -1.83
Density of states at the Fermi level, states/eV per cell: 12.371